## w
The following is a GGA-PBE calculation of a geometry-optimized NbGaTc structure, from the Alexandria database.

```
NbGaTc
1.0
4.4625 0.0000 0.0000
-2.2313 3.8647 0.0000
0.0000 0.0000 2.7899
Nb Ga Tc
1 1 1
Cartesian
0.0000 0.0000 0.0000
0.0000 2.5765 1.2823
2.2313 1.2882 1.9823
```

Results
- total moment (μB per formula unit) = 0.0

---

## x
The following is a GGA-PBE calculation of a geometry-optimized NbGaTc structure, from the Alexandria database.

```
NbGaTc
1.0
-1.6367 1.6367 4.4488
1.6367 -1.6367 4.4488
1.6367 1.6367 -4.4488
Nb Ga Tc
1 1 1
Cartesian
0.0000 0.0000 0.0000
0.0000 0.0000 6.0439
0.0000 0.0000 3.0270
```

Results
- total moment (μB per formula unit) = 0.0

---

## y
The following is a GGA-PBE calculation of a geometry-optimized NbGaTc structure, from the Alexandria database.

```
NbGaTc
1.0
-1.3448 1.3448 7.2897
1.3448 -1.3448 7.2897
1.3448 1.3448 -7.2897
Nb Ga Tc
1 1 1
Cartesian
0.0000 0.0000 0.0000
0.0000 0.0000 2.7360
0.0000 0.0000 11.9983
```

Results
- total moment (μB per formula unit) = 0.0

---

So which one is most stable? That would be x, about 97 meV per atom below the next structure.